# MnH8SN2O4F3 PBE with a Hubbard U relaxed
# VASP energy ... -5.468 eV/atom
# Calculated volume ... 754 Å³/cell
# Total magnetization ... 4.00 μB/f.u.
data_MnH8SN2O4F3
_symmetry_space_group_name_H-M 'P 1'
_symmetry_Int_Tables_number 1
_symmetry_space_group_name_Hall 'P 1'
_cell_length_a 7.581
_cell_length_b 8.897
_cell_length_c 11.187
_cell_angle_alpha 90.00
_cell_angle_beta 90.00
_cell_angle_gamma 91.93
loop_
_atom_site_label
_atom_site_fract_x
_atom_site_fract_y
_atom_site_fract_z
Mn1 0.500 0.000 0.000
Mn2 0.500 0.500 0.500
Mn3 0.000 0.000 0.000
Mn4 0.000 0.500 0.500
H1 0.178 0.321 0.728
H2 0.822 0.179 0.228
H3 0.822 0.679 0.272
H4 0.178 0.821 0.772
H5 0.045 0.353 0.846
H6 0.955 0.147 0.346
H7 0.955 0.647 0.154
H8 0.045 0.853 0.654
H9 0.250 0.433 0.842
H10 0.750 0.067 0.342
H11 0.750 0.567 0.158
H12 0.250 0.933 0.658
H13 0.220 0.244 0.864
H14 0.780 0.256 0.364
H15 0.780 0.756 0.136
H16 0.220 0.744 0.636
H17 0.552 0.148 0.650
H18 0.448 0.352 0.150
H19 0.448 0.852 0.350
H20 0.552 0.648 0.850
H21 0.736 0.257 0.637
H22 0.264 0.243 0.137
H23 0.264 0.743 0.363
H24 0.736 0.757 0.863
H25 0.681 0.177 0.771
H26 0.319 0.323 0.271
H27 0.319 0.823 0.229
H28 0.681 0.677 0.729
H29 0.751 0.068 0.658
H30 0.249 0.432 0.158
H31 0.249 0.932 0.342
H32 0.751 0.568 0.842
S1 0.748 0.300 0.000
S2 0.252 0.200 0.500
S3 0.252 0.700 0.000
S4 0.748 0.800 0.500
N1 0.175 0.337 0.819
N2 0.825 0.163 0.319
N3 0.825 0.663 0.181
N4 0.175 0.837 0.681
N5 0.682 0.163 0.679
N6 0.318 0.337 0.179
N7 0.318 0.837 0.321
N8 0.682 0.663 0.821
O1 0.118 0.293 0.562
O2 0.882 0.207 0.062
O3 0.882 0.707 0.438
O4 0.118 0.793 0.938
O5 0.612 0.194 0.939
O6 0.388 0.306 0.439
O7 0.388 0.806 0.061
O8 0.612 0.694 0.561
O9 0.659 0.393 0.089
O10 0.341 0.107 0.589
O11 0.341 0.607 0.911
O12 0.659 0.893 0.411
O13 0.831 0.391 0.905
O14 0.169 0.109 0.405
O15 0.169 0.609 0.095
O16 0.831 0.891 0.595
F1 0.473 0.442 0.657
F2 0.527 0.058 0.157
F3 0.527 0.558 0.343
F4 0.473 0.942 0.843
F5 0.970 0.050 0.842
F6 0.030 0.450 0.342
F7 0.030 0.950 0.158
F8 0.970 0.550 0.658
F9 0.239 0.106 0.998
F10 0.761 0.394 0.498
F11 0.761 0.894 0.002
F12 0.239 0.606 0.502